Record 1
Computed, not measured: NaTlSiPd after structural relaxation at the PBE level of DFT.

Structure (POSCAR):
```
NaTlSiPd
1.0
0.000 3.405 3.405
3.405 0.000 3.405
3.405 3.405 0.000
Na Tl Si Pd
1 1 1 1
Cartesian
0.000 0.000 0.000
3.405 3.405 3.405
5.107 5.107 5.107
1.702 1.702 1.702
```

Total DFT energy (no corrections) = -13.513 eV/f.u.
Calculated density = 7.61 g/cm³
ΔE to the lowest computed polymorph = 131 meV/atom

Record 2
Computed, not measured: NiGe2Pd after structural relaxation at the PBE level of DFT.

Structure (POSCAR):
```
NiGe2Pd
1.0
3.400 0.000 0.000
0.000 6.208 0.000
0.000 0.000 5.722
Ni Ge Pd
2 4 2
Cartesian
0.000 0.348 0.000
0.000 5.860 2.861
0.000 1.892 1.832
0.000 4.316 4.693
1.700 0.952 3.992
1.700 5.256 1.131
1.700 2.711 0.034
1.700 3.497 2.895
```

M_tot = 0.00 μB/f.u.
Total DFT energy (no corrections) = -21.494 eV/f.u.
Calculated density = 8.53 g/cm³
ΔE to the lowest computed polymorph = 0 meV/atom

Record 3
Computed, not measured: MgNi3B2 after structural relaxation at the PBE level of DFT.

Structure (POSCAR):
```
MgNi3B2
1.0
4.886 0.000 0.000
-2.443 4.231 0.000
0.000 0.000 8.767
Mg Ni B
3 9 6
Cartesian
0.000 0.000 0.000
0.000 0.000 2.922
0.000 0.000 5.845
-1.222 2.116 1.092
-1.222 2.116 4.753
-1.222 2.116 7.306
2.443 0.000 1.831
2.443 0.000 4.384
2.443 0.000 6.937
1.222 2.116 1.461
1.222 2.116 4.014
1.222 2.116 7.676
-0.405 2.587 2.922
0.405 2.587 5.845
0.000 3.288 0.000
2.443 0.943 0.000
2.038 1.644 5.845
2.848 1.644 2.922
```

M_tot = 0.00 μB/f.u.
Total DFT energy (no corrections) = -33.928 eV/f.u.
Calculated density = 6.10 g/cm³

Record 4
Computed, not measured: In2Cu5Ni after structural relaxation at the PBE level of DFT.

Structure (POSCAR):
```
In2Cu5Ni
1.0
4.275 0.000 0.000
0.000 4.275 0.000
0.000 0.000 6.051
In Cu Ni
2 5 1
Cartesian
0.000 0.000 0.000
2.138 2.138 3.026
0.000 0.000 3.026
0.000 2.138 1.511
0.000 2.138 4.541
2.138 0.000 1.511
2.138 0.000 4.541
2.138 2.138 0.000
```

M_tot = 0.00 μB/f.u.
Total DFT energy (no corrections) = -29.321 eV/f.u.
Calculated density = 9.10 g/cm³